The following is a GGA-PBE calculation of a geometry-optimized NdGa6Pt3 structure, from the Alexandria database.

Lattice parameters (Å, degrees): 8.9356 4.3292 9.4931 90.00 93.18 90.00
Fractional positions:
Nd  0.0545  0.2500  0.2965
Nd  0.9455  0.7500  0.7035
Ga  0.1021  0.7500  0.0339
Ga  0.1740  0.2500  0.6191
Ga  0.2906  0.7500  0.2505
Ga  0.3099  0.7500  0.7864
Ga  0.4282  0.2500  0.4320
Ga  0.4640  0.2500  0.9015
Ga  0.5360  0.7500  0.0985
Ga  0.5718  0.7500  0.5680
Ga  0.6901  0.2500  0.2136
Ga  0.7094  0.2500  0.7495
Ga  0.8260  0.7500  0.3809
Ga  0.8979  0.2500  0.9661
Pt  0.1765  0.2500  0.8963
Pt  0.2777  0.7500  0.5149
Pt  0.3968  0.2500  0.1578
Pt  0.6032  0.7500  0.8422
Pt  0.7223  0.2500  0.4851
Pt  0.8235  0.7500  0.1037

The density of states at the Fermi level comes out at 0.3034 states/eV per atom. As for the theoretical density: 10.40 Mg/m³. The energy of formation from the pure elements comes out at -0.701 eV per atom. As for the crystal system: monoclinic.

The following is a GGA-PBE calculation of a geometry-optimized Li5Ca2Cu12 structure, from the Alexandria database.

Lattice parameters (Å, degrees): 6.5429 6.5429 6.5429 83.47 83.47 83.47
Fractional positions:
Li  0.0000  0.0000  0.5000
Li  0.0000  0.5000  0.0000
Li  0.0920  0.0920  0.0920
Li  0.5000  0.0000  0.0000
Li  0.9080  0.9080  0.9080
Ca  0.3502  0.3502  0.3502
Ca  0.6498  0.6498  0.6498
Cu  0.0000  0.3054  0.6946
Cu  0.0000  0.6946  0.3054
Cu  0.1610  0.6583  0.6583
Cu  0.3054  0.0000  0.6946
Cu  0.3054  0.6946  0.0000
Cu  0.3417  0.3417  0.8390
Cu  0.3417  0.8390  0.3417
Cu  0.6583  0.1610  0.6583
Cu  0.6583  0.6583  0.1610
Cu  0.6946  0.0000  0.3054
Cu  0.6946  0.3054  0.0000
Cu  0.8390  0.3417  0.3417

The density of states at the Fermi level comes out at 0.3083 states/eV per atom. As for the theoretical density: 5.30 Mg/m³. The energy of formation from the pure elements comes out at -0.077 eV per atom. As for the crystal system: trigonal.

The following is a GGA-PBE calculation of a geometry-optimized TiGaW3 structure, from the Alexandria database.

Lattice parameters (Å, degrees): 4.5865 4.5865 4.5865 90.00 90.00 90.00
Fractional positions:
Ti  0.0000  0.0000  0.0000
Ga  0.5000  0.5000  0.5000
W  0.0000  0.0000  0.5000
W  0.0000  0.5000  0.0000
W  0.5000  0.0000  0.0000

The density of states at the Fermi level comes out at 0.9501 states/eV per atom. As for the theoretical density: 11.52 Mg/m³. The energy of formation from the pure elements comes out at 1.883 eV per atom. As for the crystal system: cubic. The energy above the most stable polymorph in this dataset comes out at 1.29 eV per formula unit.

The following is a GGA-PBE calculation of a geometry-optimized TaTc2RhAu structure, from the Alexandria database.

Lattice parameters (Å, degrees): 4.6448 4.6448 4.9979 90.00 90.00 90.00
Fractional positions:
Ta  0.0000  0.0000  0.0000
Tc  0.0000  0.5000  0.0000
Tc  0.5000  0.0000  0.0000
Rh  0.5000  0.5000  0.5000
Au  0.0000  0.0000  0.5000

The density of states at the Fermi level comes out at 1.1603 states/eV per atom. As for the theoretical density: 10.42 Mg/m³. The energy of formation from the pure elements comes out at 1.773 eV per atom. As for the crystal system: tetragonal.

The following is a GGA-PBE calculation of a geometry-optimized PmNd2DySe5 structure, from the Alexandria database.

Lattice parameters (Å, degrees): 5.1465 5.1465 10.9508 90.00 90.00 90.00
Fractional positions:
Pm  0.0000  0.0000  0.0000
Nd  0.5000  0.5000  0.3294
Nd  0.5000  0.5000  0.6706
Dy  0.0000  0.0000  0.5000
Se  0.0000  0.0000  0.2493
Se  0.0000  0.0000  0.7507
Se  0.0000  0.5000  0.5000
Se  0.5000  0.0000  0.5000
Se  0.5000  0.5000  0.0000

The density of states at the Fermi level comes out at 0.6380 states/eV per atom. As for the theoretical density: 5.67 Mg/m³. The uncorrected formation energy is -1.276 eV per atom. As for the crystal system: tetragonal.

The following is a GGA-PBE calculation of a geometry-optimized Pr2Nd3UN6 structure, from the Alexandria database.

Lattice parameters (Å, degrees): 6.2672 6.2672 6.2426 99.65 99.65 119.96
Fractional positions:
Pr  0.1665  0.8335  0.0000
Pr  0.8335  0.1665  0.0000
Nd  0.0000  0.0000  0.5000
Nd  0.3345  0.6655  0.5000
Nd  0.6655  0.3345  0.5000
U  0.5000  0.5000  0.0000
N  0.1274  0.4234  0.7707
N  0.2787  0.2787  0.2332
N  0.4234  0.1274  0.7707
N  0.5766  0.8726  0.2293
N  0.7213  0.7213  0.7668
N  0.8726  0.5766  0.2293

The density of states at the Fermi level comes out at 0.4327 states/eV per atom. As for the theoretical density: 8.60 Mg/m³. The uncorrected formation energy is -1.411 eV per atom. As for the crystal system: monoclinic.

The following is a GGA-PBE calculation of a geometry-optimized Sr2GeSb3 structure, from the Alexandria database.

Lattice parameters (Å, degrees): 8.5687 8.5687 8.5687 154.01 134.39 53.25
Fractional positions:
Sr  0.1742  0.1742  0.0000
Sr  0.8258  0.8258  0.0000
Ge  0.5000  0.5000  0.0000
Sb  0.0000  0.5000  0.5000
Sb  0.3623  0.8623  0.5000
Sb  0.6377  0.1377  0.5000

The density of states at the Fermi level comes out at 0.4953 states/eV per atom. As for the theoretical density: 5.19 Mg/m³. The uncorrected formation energy is -0.352 eV per atom. As for the crystal system: orthorhombic.

The following is a GGA-PBE calculation of a geometry-optimized Sc3GaHg structure, from the Alexandria database.

Lattice parameters (Å, degrees): 7.3837 7.3837 4.8901 90.00 90.00 120.00
Fractional positions:
Sc  0.1924  0.3847  0.2500
Sc  0.1924  0.8076  0.2500
Sc  0.3847  0.1924  0.7500
Sc  0.6153  0.8076  0.2500
Sc  0.8076  0.1924  0.7500
Sc  0.8076  0.6153  0.7500
Ga  0.0000  0.0000  0.0000
Ga  0.0000  0.0000  0.5000
Hg  0.3333  0.6667  0.7500
Hg  0.6667  0.3333  0.2500

The density of states at the Fermi level comes out at 0.6177 states/eV per atom. As for the theoretical density: 5.83 Mg/m³. The energy of formation from the pure elements comes out at -0.214 eV per atom. As for the crystal system: hexagonal. The energy above the most stable polymorph in this dataset comes out at 0.89 eV per formula unit.

The following is a GGA-PBE calculation of a geometry-optimized ZnTcP2 structure, from the Alexandria database.

Lattice parameters (Å, degrees): 4.2202 4.2202 4.8354 95.44 95.44 43.45
Fractional positions:
Zn  0.0000  0.0000  0.0000
Tc  0.5000  0.5000  0.5000
P  0.2236  0.2236  0.7015
P  0.7764  0.7764  0.2985

The density of states at the Fermi level comes out at 0.6213 states/eV per atom. As for the theoretical density: 6.35 Mg/m³. The energy of formation from the pure elements comes out at -0.018 eV per atom. As for the crystal system: monoclinic.

The following is a GGA-PBE calculation of a geometry-optimized SrIn2Ru structure, from the Alexandria database.

Lattice parameters (Å, degrees): 6.2077 6.2077 6.2077 147.98 127.78 62.58
Fractional positions:
Sr  0.0000  0.0000  0.0000
In  0.2970  0.7970  0.5000
In  0.7030  0.2030  0.5000
Ru  0.5000  0.5000  0.0000

The density of states at the Fermi level comes out at 0.5650 states/eV per atom. As for the theoretical density: 7.00 Mg/m³. The energy of formation from the pure elements comes out at 0.035 eV per atom. As for the crystal system: orthorhombic.

The following is a GGA-PBE calculation of a geometry-optimized RbNaCe2Br8 structure, from the Alexandria database.

Lattice parameters (Å, degrees): 7.6774 7.6774 8.7517 90.00 90.00 120.00
Fractional positions:
Rb  0.0000  0.0000  0.0000
Na  0.0000  0.0000  0.5000
Ce  0.3333  0.6667  0.4081
Ce  0.6667  0.3333  0.5919
Br  0.0646  0.3652  0.6576
Br  0.3006  0.9354  0.6576
Br  0.3333  0.6667  0.0887
Br  0.3652  0.3006  0.3424
Br  0.6348  0.6994  0.6576
Br  0.6667  0.3333  0.9113
Br  0.6994  0.0646  0.3424
Br  0.9354  0.6348  0.3424

The density of states at the Fermi level comes out at 1.2645 states/eV per atom. As for the theoretical density: 3.82 Mg/m³. The uncorrected formation energy is -1.724 eV per atom. As for the crystal system: trigonal.

The following is a GGA-PBE calculation of a geometry-optimized ZrFeCl3 structure, from the Alexandria database.

Lattice parameters (Å, degrees): 5.0821 5.0821 5.0821 90.00 90.00 90.00
Fractional positions:
Zr  0.0000  0.0000  0.0000
Fe  0.5000  0.5000  0.5000
Cl  0.0000  0.0000  0.5000
Cl  0.0000  0.5000  0.0000
Cl  0.5000  0.0000  0.0000

The density of states at the Fermi level comes out at 4.8589 states/eV per atom. As for the theoretical density: 3.21 Mg/m³. The uncorrected formation energy is -0.294 eV per atom. As for the crystal system: cubic. The energy above the most stable polymorph in this dataset comes out at 0.00 eV per formula unit.